[1]
A plane-wave DFT calculation with PBE-GGA was carried out for a relaxed PrDy4Cu crystal.

Calculated values
Its crystal system is tetragonal. Its symmetry is P4/mmm, No. 123. The volume comes out at 28.79 Å³ per atom. The calculation puts the density of states at the Fermi level at 8.2 states/eV/f.u. The calculated formation energy is -4.71 kJ per mole of atoms.

Lattice parameters (Å, degrees): 3.5497 3.5497 13.7081 90.00 90.00 90.00
Closest atoms and distances in Å follow each position.
Sites, in units of the cell vectors:
Pr 0.0000 0.0000 0.0000  4 Pr 3.55, 8 Dy 3.61
Dy 0.0000 0.0000 0.3776  4 Cu 3.02, 1 Dy 3.36
Dy 0.0000 0.0000 0.6224  4 Cu 3.02, 1 Dy 3.36
Dy 0.5000 0.5000 0.1893  8 Dy 3.55-3.60, 4 Pr 3.61
Dy 0.5000 0.5000 0.8107  8 Dy 3.55-3.60, 4 Pr 3.61
Cu 0.5000 0.5000 0.5000  8 Dy 3.02



[2]
A plane-wave DFT calculation with PBE-GGA was carried out for a relaxed SrNbAl3 crystal.

Calculated values
Its crystal system is cubic. Its symmetry is Pm-3m, No. 221. The volume comes out at 28.36 Å³ per atom. The calculation puts the density of states at the Fermi level at 14.4 states/eV/f.u. The calculated formation energy is 197.00 kJ per mole of atoms.

Lattice parameters (Å, degrees): 5.2148 5.2148 5.2148 90.00 90.00 90.00
Closest atoms and distances in Å follow each position.
Sites, in units of the cell vectors:
Sr 0.0000 0.0000 0.0000  6 Al 2.61
Nb 0.5000 0.5000 0.5000  12 Al 3.69
Al 0.0000 0.0000 0.5000  2 Sr 2.61
Al 0.0000 0.5000 0.0000  2 Sr 2.61
Al 0.5000 0.0000 0.0000  2 Sr 2.61



[3]
A plane-wave DFT calculation with PBE-GGA was carried out for a relaxed TlCuHgSe crystal.

Calculated values
Its crystal system is tetragonal. Its symmetry is P4/nmm, No. 129. As for the energy relative to the elements, uncorrected: -0.160 eV per atom. The volume comes out at 25.63 Å³ per atom. The calculation puts the density of states at the Fermi level at 1.5 states/eV/f.u.

Lattice parameters (Å, degrees): 4.2569 4.2569 11.3160 90.00 90.00 90.00
Closest atoms and distances in Å follow each position.
Sites, in units of the cell vectors:
Tl 0.2500 0.2500 0.2332  4 Se 3.25, 4 Cu 3.39
Tl 0.7500 0.7500 0.7668  4 Se 3.25, 4 Cu 3.39
Cu 0.2500 0.7500 0.0000  4 Se 2.56
Cu 0.7500 0.2500 0.0000  4 Se 2.56
Hg 0.2500 0.7500 0.5000  4 Hg 3.01
Hg 0.7500 0.2500 0.5000  4 Hg 3.01
Se 0.2500 0.2500 0.8748  4 Cu 2.56
Se 0.7500 0.7500 0.1252  4 Cu 2.56



[4]
A plane-wave DFT calculation with PBE-GGA was carried out for a relaxed ScPaNi6 crystal.

Calculated values
Its crystal system is cubic. Its symmetry is Pm-3, No. 200. The volume comes out at 13.95 Å³ per atom. The calculation puts the density of states at the Fermi level at 3.7 states/eV/f.u. The calculated formation energy is -29.14 kJ per mole of atoms.

Lattice parameters (Å, degrees): 4.8150 4.8150 4.8150 90.00 90.00 90.00
Closest atoms and distances in Å follow each position.
Sites, in units of the cell vectors:
Sc 0.0000 0.0000 0.0000  12 Ni 2.69
Pa 0.5000 0.5000 0.5000  12 Ni 2.69
Ni 0.0000 0.2493 0.5000  2 Ni 2.40-2.41
Ni 0.0000 0.7507 0.5000  2 Ni 2.40-2.41
Ni 0.2493 0.5000 0.0000  2 Ni 2.40-2.41
Ni 0.5000 0.0000 0.2493  2 Ni 2.40-2.41
Ni 0.5000 0.0000 0.7507  2 Ni 2.40-2.41
Ni 0.7507 0.5000 0.0000  2 Ni 2.40-2.41



[5]
A plane-wave DFT calculation with PBE-GGA was carried out for a relaxed TcHg crystal.

Calculated values
Its crystal system is cubic. Its symmetry is Fm-3m, No. 225. The volume comes out at 21.26 Å³ per atom. The calculation puts the density of states at the Fermi level at 2.3 states/eV/f.u. The calculated formation energy is 131.76 kJ per mole of atoms.

Lattice parameters (Å, degrees): 3.9175 3.9175 3.9175 60.00 60.00 60.00
Closest atoms and distances in Å follow each position.
Sites, in units of the cell vectors:
Tc 0.0000 0.0000 0.0000  6 Hg 2.77
Hg 0.5000 0.5000 0.5000  6 Tc 2.77



[6]
A plane-wave DFT calculation with PBE-GGA was carried out for a relaxed Li2Nd2AgPd5 crystal.

Calculated values
Its crystal system is tetragonal. Its symmetry is P4/mbm, No. 127. The volume comes out at 17.66 Å³ per atom. The calculation puts the density of states at the Fermi level at 4.2 states/eV/f.u. The calculated formation energy is -53.16 kJ per mole of atoms.

Lattice parameters (Å, degrees): 9.5378 9.5378 3.8832 90.00 90.00 90.00
Closest atoms and distances in Å follow each position.
Sites, in units of the cell vectors:
Li 0.1152 0.3848 0.0000  6 Pd 2.49-2.61, 1 Nd 2.72
Li 0.3848 0.8848 0.0000  6 Pd 2.49-2.61, 1 Nd 2.72
Li 0.6152 0.1152 0.0000  6 Pd 2.49-2.61, 1 Nd 2.72
Li 0.8848 0.6152 0.0000  6 Pd 2.49-2.61, 1 Nd 2.72
Nd 0.1830 0.6830 0.0000  3 Li 2.72-2.92
Nd 0.3170 0.1830 0.0000  3 Li 2.72-2.92
Nd 0.6830 0.8170 0.0000  3 Li 2.72-2.92
Nd 0.8170 0.3170 0.0000  3 Li 2.72-2.92
Ag 0.0000 0.0000 0.0000  8 Pd 2.86
Ag 0.5000 0.5000 0.0000  8 Pd 2.86
Pd 0.0000 0.5000 0.5000  4 Li 2.49
Pd 0.0650 0.2097 0.5000  2 Li 2.61, 1 Pd 2.84, 2 Ag 2.86
Pd 0.2097 0.9350 0.5000  2 Li 2.61, 1 Pd 2.84, 2 Ag 2.86
Pd 0.2903 0.4350 0.5000  2 Li 2.61, 1 Pd 2.84, 2 Ag 2.86
Pd 0.4350 0.7097 0.5000  2 Li 2.61, 1 Pd 2.84, 2 Ag 2.86
Pd 0.5000 0.0000 0.5000  4 Li 2.49
Pd 0.5650 0.2903 0.5000  2 Li 2.61, 1 Pd 2.84, 2 Ag 2.86
Pd 0.7097 0.5650 0.5000  2 Li 2.61, 1 Pd 2.84, 2 Ag 2.86
Pd 0.7903 0.0650 0.5000  2 Li 2.61, 1 Pd 2.84, 2 Ag 2.86
Pd 0.9350 0.7903 0.5000  2 Li 2.61, 1 Pd 2.84, 2 Ag 2.86